Entry 1:
Sm6Dy12Sc | PBE-GGA | optimized geometry

Output
The value obtained for the energy above the most stable polymorph in this dataset is 19.5 kJ/mol of atoms. The formation enthalpy at 0 K is 0.35 eV per atom. As for the uncorrected energy: -4.377 eV per atom.

Unit cell a=16.4282 b=16.4282 c=8.2633 alpha=90.00 beta=90.00 gamma=120.00
Space group R-3m (No. 166, hexagonal axes)
Symmetry-distinct sites (fractional):
1 Sm 0.1051 0.2102 0.0728 [18 per cell]
2 Dy 0.0000 0.3833 0.0000 [18 per cell]
3 Dy 0.1046 0.2091 0.6284 [18 per cell]
4 Sc 0.0000 0.0000 0.5000 [3 per cell]

***

Entry 2:
LiBrN3 | PBE-GGA | optimized geometry

Output
As for the uncorrected energy: -3.369 eV per atom. Its raw formation energy is 2.34 eV per atom.

Unit cell a=3.9628 b=3.9628 c=3.9628 alpha=90.00 beta=90.00 gamma=90.00
Space group Pm-3m (No. 221)
Symmetry-distinct sites (fractional):
1 Li 0.0000 0.0000 0.0000 [1 per cell]
2 Br 0.5000 0.5000 0.5000 [1 per cell]
3 N 0.0000 0.5000 0.5000 [3 per cell]

***

Entry 3:
KCeRe2O8 | PBE-GGA | optimized geometry

Output
As for the uncorrected energy: -7.950 eV per atom. Its raw formation energy is -1.98 eV per atom.

Unit cell a=6.0795 b=6.0795 c=7.6819 alpha=90.00 beta=90.00 gamma=120.00
Space group P-3m1 (No. 164)
Symmetry-distinct sites (fractional):
1 K 0.0000 0.0000 0.0000 [1 per cell]
2 Ce 0.0000 0.0000 0.5000 [1 per cell]
3 Re 0.3333 0.6667 0.7745 [2 per cell]
4 O 0.1717 0.3433 0.6914 [6 per cell]
5 O 0.3333 0.6667 0.0039 [2 per cell]